# Rb3LiV2F9 (GGA+U, optimized geometry)
# total DFT energy (no corrections)	-5.262	eV per atom
data_Rb3LiV2F9
_space_group_name_H-M_alt 'P -3 m 1'
_space_group_IT_number 164
_space_group_name_Hall '-P 3 2"'
_cell_length_a 5.9425
_cell_length_b 5.9425
_cell_length_c 7.2828
_cell_angle_alpha 90.00
_cell_angle_beta 90.00
_cell_angle_gamma 120.00
loop_
_atom_site_label
_atom_site_fract_x
_atom_site_fract_y
_atom_site_fract_z
Rb1 0.0000 0.0000 0.0000
Rb2 0.3333 0.6667 0.6512
Li1 0.0000 0.0000 0.5000
V1 0.3333 0.6667 0.1662
F1 0.0000 0.5000 0.0000
F2 0.1713 0.3426 0.3227